(1)
The following is a DFT calculation (PBE-GGA) of a relaxed FeP2Br crystal.

ΔE to the lowest computed polymorph in kcal/mol of atoms: 16.645
Formation energy without anion corrections in eV/atom: 0.63

POSCAR file:
```
FeP2Br
1.0
6.5618 0.0000 0.0000
0.0000 3.4611 0.0000
0.0000 0.0000 3.4611
Br Fe P
1 1 2
Direct
0.5000 0.5000 0.0000
0.5000 0.0000 0.5000
0.0000 0.0000 0.0000
0.0000 0.5000 0.5000
```

---

(2)
The following is a DFT calculation (PBE-GGA) of a relaxed Ba2Cd2Pt15 crystal.

Formation enthalpy at 0 K in eV per atom: -0.359

POSCAR file:
```
Ba2Cd2Pt15
1.0
7.1197 -0.1005 -0.0895
0.8240 7.0725 -0.0895
0.8240 0.7232 7.0360
Ba Cd Pt
2 2 15
Direct
0.3490 0.3490 0.3490
0.6510 0.6510 0.6510
0.1007 0.1007 0.1007
0.8993 0.8993 0.8993
0.5000 0.0000 0.0000
0.0000 0.0000 0.5000
0.0000 0.5000 0.0000
0.0000 0.6957 0.3043
0.6957 0.3043 0.0000
0.3043 0.0000 0.6957
0.3043 0.6957 0.0000
0.6957 0.0000 0.3043
0.0000 0.3043 0.6957
0.1553 0.6583 0.6583
0.6583 0.6583 0.1553
0.6583 0.1553 0.6583
0.8447 0.3417 0.3417
0.3417 0.3417 0.8447
0.3417 0.8447 0.3417
```

---

(3)
The following is a DFT calculation (PBE-GGA) of a relaxed RbTa3Ni crystal.

ΔE to the lowest computed polymorph in kcal/mol of atoms: 0.000
Formation enthalpy at 0 K in eV per atom: 1.555

POSCAR file:
```
RbTa3Ni
1.0
4.8260 0.0000 0.0000
0.0000 4.8260 0.0000
0.0000 0.0000 4.8260
Ni Rb Ta
1 1 3
Direct
0.0000 0.0000 0.0000
0.5000 0.5000 0.5000
0.0000 0.5000 0.0000
0.0000 0.0000 0.5000
0.5000 0.0000 0.0000
```

---

(4)
The following is a DFT calculation (PBE-GGA) of a relaxed La5Zn2Ni5 crystal.

Formation enthalpy at 0 K in eV per atom: -0.304

POSCAR file:
```
La5Zn2Ni5
1.0
3.8045 0.0000 0.8583
1.9238 7.4336 0.3336
-0.1124 -0.6313 9.3591
La Zn Ni
5 2 5
Direct
0.0000 0.5000 0.5000
0.6730 0.7289 0.9252
0.3597 0.9542 0.3264
0.6403 0.0458 0.6736
0.3270 0.2711 0.0748
0.3913 0.4522 0.7651
0.6087 0.5478 0.2349
0.6949 0.2531 0.3570
0.9503 0.2623 0.8371
0.0497 0.7377 0.1629
0.3051 0.7469 0.6430
0.0000 0.0000 0.0000
```

---

(5)
The following is a DFT calculation (PBE-GGA) of a relaxed Zr2NiAg crystal.

Formation enthalpy at 0 K in eV per atom: 0.437

POSCAR file:
```
Zr2NiAg
1.0
4.1263 0.0000 0.0000
0.0000 4.1263 0.0000
2.0631 2.0631 9.4363
Ni Zr Ag
2 4 2
Direct
0.5000 0.5000 0.0000
0.2500 0.7500 0.5000
0.6147 0.1250 0.2500
0.1353 0.6250 0.2500
0.3750 0.3853 0.7500
0.8750 0.8647 0.7500
0.0000 0.0000 0.0000
0.7500 0.2500 0.5000
```

---

(6)
The following is a DFT calculation (PBE-GGA) of a relaxed NaMg6Hg12 crystal.

ΔE to the lowest computed polymorph in kcal/mol of atoms: 0.716
Formation enthalpy at 0 K in eV per atom: -0.101

POSCAR file:
```
NaMg6Hg12
1.0
8.4140 0.0000 0.0000
-2.8047 7.9328 0.0000
-2.8047 -3.9664 6.8700
Na Mg Hg
1 6 12
Direct
0.0000 0.0000 0.0000
0.3433 0.5000 0.8433
0.6567 0.5000 0.1567
0.5000 0.8433 0.3433
0.5000 0.1567 0.6567
0.8433 0.3433 0.5000
0.1567 0.6567 0.5000
0.2714 0.1008 0.8293
0.2714 0.4421 0.1707
0.7286 0.5579 0.8293
0.7286 0.8992 0.1707
0.1008 0.8293 0.2714
0.4421 0.1707 0.2714
0.5579 0.8293 0.7286
0.8992 0.1707 0.7286
0.8293 0.2714 0.1008
0.1707 0.2714 0.4421
0.8293 0.7286 0.5579
0.1707 0.7286 0.8992
```

---

(7)
The following is a DFT calculation (PBE-GGA) of a relaxed SrCrIr2 crystal.

ΔE to the lowest computed polymorph in kcal/mol of atoms: 6.616
Formation enthalpy at 0 K in eV per atom: 0.312

POSCAR file:
```
SrCrIr2
1.0
4.3794 0.0000 0.0000
0.0000 2.9188 -0.1036
0.0000 0.7320 6.0741
Cr Ir Sr
1 2 1
Direct
0.5000 0.6792 0.8719
0.0000 0.1291 0.9521
0.5000 0.1193 0.2060
0.0000 0.5724 0.4700
```

---

(8)
The following is a DFT calculation (PBE-GGA) of a relaxed Ca3Ag2Hg crystal.

Formation enthalpy at 0 K in eV per atom: -0.388

POSCAR file:
```
Ca3Ag2Hg
1.0
3.7156 0.0000 0.0000
0.0000 3.7156 0.0000
0.0000 0.0000 11.3694
Ca Ag Hg
3 2 1
Direct
0.0000 0.0000 0.0000
0.0000 0.0000 0.6701
0.0000 0.0000 0.3299
0.5000 0.5000 0.8363
0.5000 0.5000 0.1637
0.5000 0.5000 0.5000
```

---

(9)
The following is a DFT calculation (PBE-GGA) of a relaxed Sc4Ga2N crystal.

Formation energy without anion corrections in eV/atom: -0.89

POSCAR file:
```
Sc4Ga2N
1.0
-3.2982 -2.2116 -1.6674
-0.9319 -1.5555 3.9066
-6.4371 3.6715 2.3005
Sc Ga N
4 2 1
Direct
0.1650 0.1650 0.6700
0.8350 0.8350 0.3300
0.0000 0.5000 0.0000
0.5000 0.0000 0.0000
0.3638 0.3638 0.2725
0.6362 0.6362 0.7275
0.0000 0.0000 0.0000
```

---

(10)
The following is a DFT calculation (PBE-GGA) of a relaxed NiBi3N crystal.

ΔE to the lowest computed polymorph in kcal/mol of atoms: 0.000
Formation energy without anion corrections in eV/atom: 0.75

POSCAR file:
```
NiBi3N
1.0
-1.9818 4.3289 -0.9238
-4.2559 -1.5853 1.7014
1.2167 1.5059 4.4466
Ni Bi N
1 3 1
Direct
0.5000 0.5000 0.5000
0.0000 0.5000 0.0000
0.0000 0.0000 0.5000
0.5000 0.0000 0.0000
0.0000 0.0000 0.0000
```

---

(11)
The following is a DFT calculation (PBE-GGA) of a relaxed KZr2Cu2S6 crystal.

Formation energy without anion corrections in eV/atom: -1.01

POSCAR file:
```
KZr2Cu2S6
1.0
6.8695 -0.1393 0.1027
3.2994 6.6305 -0.3447
0.1731 -4.1952 6.0343
K Zr Cu S
1 2 2 6
Direct
0.5000 0.0000 0.5000
0.8248 0.3408 0.8486
0.1752 0.6592 0.1514
0.2275 0.7248 0.7873
0.7725 0.2752 0.2127
0.4406 0.7516 0.0059
0.9636 0.4438 0.1817
0.1496 0.8590 0.5828
0.0364 0.5562 0.8183
0.8504 0.1410 0.4172
0.5594 0.2484 0.9941
```

---

(12)
The following is a DFT calculation (PBE-GGA) of a relaxed NaAgIrF6 crystal.

Formation energy without anion corrections in eV/atom: -1.72

POSCAR file:
```
NaAgIrF6
1.0
5.7728 0.0000 0.0000
-2.8864 4.9994 0.0000
0.0000 0.0000 9.5951
Na Ag Ir F
2 2 2 12
Direct
0.3333 0.6667 0.2500
0.6667 0.3333 0.7500
0.0000 0.0000 0.0000
0.0000 0.0000 0.5000
0.6667 0.3333 0.2500
0.3333 0.6667 0.7500
0.6612 0.6162 0.1359
0.9550 0.3388 0.1359
0.3388 0.9550 0.6359
0.0450 0.6612 0.8641
0.3838 0.3388 0.3641
0.9550 0.6162 0.3641
0.6162 0.9550 0.8641
0.6612 0.0450 0.3641
0.0450 0.3838 0.6359
0.3838 0.0450 0.1359
0.6162 0.6612 0.6359
0.3388 0.3838 0.8641
```

---

(13)
The following is a DFT calculation (PBE-GGA) of a relaxed Al2TlGaCl8 crystal.

Formation energy without anion corrections in eV/atom: -1.34

POSCAR file:
```
Al2TlGaCl8
1.0
-1.0054 3.1727 -6.4608
-4.8584 -4.7988 2.4871
-4.8378 7.0935 4.2362
Al Tl Ga Cl
2 1 1 8
Direct
0.6667 0.3333 0.3039
0.3333 0.6667 0.6961
0.0000 0.0000 0.5000
0.0000 0.0000 0.0000
0.8287 0.1713 0.2260
0.8287 0.6574 0.2260
0.3426 0.1713 0.2260
0.6574 0.8287 0.7740
0.3333 0.6667 0.4734
0.6667 0.3333 0.5266
0.1713 0.8287 0.7740
0.1713 0.3426 0.7740
```

---

(14)
The following is a DFT calculation (PBE-GGA) of a relaxed HfTl2VZn crystal.

Formation enthalpy at 0 K in eV per atom: 0.762

POSCAR file:
```
HfTl2VZn
1.0
-2.5514 3.9721 -2.3675
-3.3506 -3.0380 -1.4862
-2.7508 0.8698 4.4237
Tl Hf Zn V
2 1 1 1
Direct
0.0000 0.0000 0.5000
0.5000 0.0000 0.0000
0.0000 0.5000 0.0000
0.5000 0.5000 0.5000
0.0000 0.0000 0.0000
```

---

(15)
The following is a DFT calculation (PBE-GGA) of a relaxed TbPa2Cu9 crystal.

Formation enthalpy at 0 K in eV per atom: -0.086

POSCAR file:
```
TbPa2Cu9
1.0
4.8659 0.0000 1.4482
2.2175 4.3313 1.4482
-0.0171 -0.0105 8.9564
Tb Pa Cu
1 2 9
Direct
0.0000 0.0000 0.0000
0.8533 0.8533 0.4400
0.1467 0.1467 0.5600
0.6673 0.6673 0.9981
0.3327 0.3327 0.0019
0.5000 0.5000 0.5000
0.4192 0.4192 0.2441
0.9176 0.4192 0.2441
0.4192 0.9176 0.2441
0.5808 0.5808 0.7559
0.5808 0.0824 0.7559
0.0824 0.5808 0.7559
```

---

(16)
The following is a DFT calculation (PBE-GGA) of a relaxed Ba3EuAu crystal.

Formation enthalpy at 0 K in eV per atom: -0.258

POSCAR file:
```
Ba3EuAu
1.0
-0.7531 -5.3870 -3.5462
-2.2497 -3.1266 5.2274
-6.0444 1.8349 -1.5038
Eu Au Ba
1 1 3
Direct
0.5000 0.5000 0.5000
0.0000 0.0000 0.0000
0.0000 0.5000 0.0000
0.0000 0.0000 0.5000
0.5000 0.0000 0.0000
```

---

(17)
The following is a DFT calculation (PBE-GGA) of a relaxed Pr5Y12Pu crystal.

Formation enthalpy at 0 K in eV per atom: 0.037

POSCAR file:
```
Pr5Y12Pu
1.0
-3.6866 -5.4817 8.5199
5.3222 -8.7404 3.5007
4.8229 2.0546 3.4090
Pr Y Pu
5 12 1
Direct
0.5000 0.0000 0.5000
0.1647 0.6708 0.4907
0.8353 0.3292 0.5093
0.6670 0.6662 0.0014
0.3330 0.3338 0.9986
0.8357 0.0000 0.5000
0.1643 0.0000 0.5000
0.6717 0.0000 0.0000
0.3283 0.0000 0.0000
0.3307 0.6708 0.9980
0.9988 0.6708 0.9980
0.0012 0.3292 0.0020
0.6693 0.3293 0.0020
0.5006 0.3339 0.4984
0.8347 0.6661 0.5016
0.1653 0.3339 0.4984
0.4994 0.6661 0.5016
0.0000 0.0000 0.0000
```

---

(18)
The following is a DFT calculation (PBE-GGA) of a relaxed Be3Ag crystal.

ΔE to the lowest computed polymorph in kcal/mol of atoms: 1.316
Formation enthalpy at 0 K in eV per atom: 0.198

POSCAR file:
```
Be3Ag
1.0
-1.7300 1.7300 7.0967
1.7300 -1.7300 7.0967
1.7300 1.7300 -7.0967
Be Ag
6 2
Direct
0.0000 0.5000 0.5000
0.5000 0.0000 0.5000
0.7500 0.2500 0.5000
0.2500 0.7500 0.5000
0.8785 0.8785 0.0000
0.1215 0.1215 0.0000
0.6258 0.6258 0.0000
0.3742 0.3742 0.0000
```

---

(19)
The following is a DFT calculation (PBE-GGA) of a relaxed K3RbHg2 crystal.

ΔE to the lowest computed polymorph in kcal/mol of atoms: 0.000
Formation enthalpy at 0 K in eV per atom: -0.170

POSCAR file:
```
K3RbHg2
1.0
-2.0287 -4.6697 -0.3302
8.0135 -6.4239 2.1974
-1.7291 -2.8947 12.1451
K Rb Hg
6 2 4
Direct
0.1580 0.9267 0.7573
0.8420 0.0733 0.2427
0.4173 0.2230 0.9423
0.5827 0.7770 0.0577
0.5832 0.2668 0.5667
0.4168 0.7332 0.4333
0.8475 0.5693 0.7358
0.1525 0.4307 0.2642
0.2304 0.5831 0.9560
0.7696 0.4169 0.0440
0.7685 0.9194 0.5437
0.2315 0.0806 0.4563
```

---

(20)
The following is a DFT calculation (PBE-GGA) of a relaxed Tb4Sm3Dy5 crystal.

ΔE to the lowest computed polymorph in kcal/mol of atoms: 4.985
Formation enthalpy at 0 K in eV per atom: 0.231

POSCAR file:
```
Tb4Sm3Dy5
1.0
-0.3847 3.2645 4.9117
-7.9633 -0.2044 3.0679
5.5611 -4.1437 6.7454
Tb Sm Dy
4 3 5
Direct
0.8601 0.2218 0.0580
0.1675 0.0434 0.6215
0.8325 0.9566 0.3785
0.1399 0.7782 0.9420
0.5221 0.6863 0.2696
0.0000 0.5000 0.5000
0.4779 0.3137 0.7304
0.6243 0.9492 0.8021
0.5000 0.5000 0.5000
0.2156 0.4572 0.1117
0.7844 0.5428 0.8883
0.3757 0.0508 0.1979
```